Record 1
## Na4IrO6 (PBE-GGA)

Data for crystalline Na4IrO6 at its relaxed geometry.

Cell lengths 9.3467, 9.3467, 11.5144 Å; angles 90.00, 90.00, 120.00 degrees
Closest atoms and distances in Å follow each position.
Space group R-3c (No. 167, hexagonal axes)
Inequivalent atoms, fractional coordinates:
Na 0.0000 0.0000 0.2500 x6  6 O 2.36
Na 0.0000 0.3460 0.2500 x18  6 O 2.47-2.57
Ir 0.0000 0.0000 0.0000 x6  6 O 1.90
O 0.0287 0.1786 0.4043 x36  1 Ir 1.90

V   13.2 A^3/atom
Formation energy from raw total energies   -1.11 eV per atom

---

Record 2
## NaIr2O (PBE-GGA)

Data for crystalline NaIr2O at its relaxed geometry.

Cell lengths 4.9203, 4.9203, 13.0232 Å; angles 90.00, 90.00, 90.00 degrees
Closest atoms and distances in Å follow each position.
Space group I4_1/amd (No. 141, origin choice 2)
Inequivalent atoms, fractional coordinates:
Na 0.0000 0.2500 0.3750 x4  8 Ir 3.20, 4 O 3.48
Ir 0.0000 0.0000 0.0000 x8  2 O 2.04
O 0.0000 0.2500 0.8750 x4  4 Ir 2.04

V   19.7 A^3/atom
Formation energy from raw total energies   0.33 eV per atom

---

Record 3
## Na4IrO5 (PBE-GGA)

Data for crystalline Na4IrO5 at its relaxed geometry.

Cell lengths 7.3373, 7.3373, 4.8432 Å; angles 90.00, 90.00, 90.00 degrees
Closest atoms and distances in Å follow each position.
Space group I4 (No. 79)
Inequivalent atoms, fractional coordinates:
Na 0.0992 0.3000 0.0000 x8  5 O 2.32-2.49
Ir 0.0000 0.0000 0.4598 x2  5 O 1.89-1.94
O 0.0000 0.0000 0.0698 x2  1 Ir 1.89
O 0.0782 0.2509 0.5084 x8  1 Ir 1.94

V   13.0 A^3/atom
Formation energy from raw total energies   -1.22 eV per atom

---

Record 4
## Na2Ir3O8 (PBE-GGA)

Data for crystalline Na2Ir3O8 at its relaxed geometry.

Cell lengths 11.2470, 6.3348, 5.3373 Å; angles 90.00, 111.07, 90.00 degrees
Closest atoms and distances in Å follow each position.
Space group C2/m (No. 12)
Inequivalent atoms, fractional coordinates:
Na 0.2178 0.0000 0.1604 x4  6 O 2.41-2.60
Ir 0.0000 0.2418 0.5000 x4  6 O 1.96-2.09
Ir 0.0000 0.5000 0.0000 x2  6 O 1.98-2.06
O 0.0932 0.5000 0.4096 x4  3 Ir 2.06-2.09
O 0.0952 0.2823 0.8835 x8  2 Ir 1.96-1.98
O 0.1009 0.0000 0.4636 x4  2 Ir 1.96

V   13.6 A^3/atom
Formation energy from raw total energies   -0.97 eV per atom

---

Record 5
## Na3IrO3 (PBE-GGA)

Data for crystalline Na3IrO3 at its relaxed geometry.

Cell lengths 7.4746, 7.4746, 4.7796 Å; angles 90.00, 90.00, 120.00 degrees
Closest atoms and distances in Å follow each position.
Space group P6_3/m (No. 176)
Inequivalent atoms, fractional coordinates:
Na 0.1750 0.8232 0.2500 x6  4 O 2.36-2.40
Ir 0.3333 0.6667 0.7500 x2  3 O 1.87
O 0.1881 0.8105 0.7500 x6  1 Ir 1.87

V   16.5 A^3/atom
Formation energy from raw total energies   -1.11 eV per atom
Polymorph energy (0 for the lowest one)   0 meV/atom

---

Record 6
## Na2Ir2O7 (PBE-GGA)

Data for crystalline Na2Ir2O7 at its relaxed geometry.

Cell lengths 7.2743, 10.0361, 7.6073 Å; angles 90.00, 90.00, 90.00 degrees
Closest atoms and distances in Å follow each position.
Space group Imma (No. 74)
Inequivalent atoms, fractional coordinates:
Na 0.0000 0.0000 0.0000 x4  6 O 2.33-2.49
Na 0.2500 0.2500 0.2500 x4  4 O 2.47
Ir 0.0000 0.0000 0.5000 x4  6 O 1.85-1.97
Ir 0.2500 0.2500 0.7500 x4  6 O 1.92-1.94
O 0.0000 0.0853 0.2843 x8  1 Ir 1.85
O 0.0000 0.2500 0.8299 x4  2 Ir 1.92
O 0.2064 0.1152 0.5712 x16  2 Ir 1.94-1.97

V   12.6 A^3/atom
Formation energy from raw total energies   -0.96 eV per atom
Polymorph energy (0 for the lowest one)   0 meV/atom

---

Record 7
## Na2IrO4 (PBE-GGA)

Data for crystalline Na2IrO4 at its relaxed geometry.

Cell lengths 10.6932, 3.1365, 6.0567 Å; angles 90.00, 120.16, 90.00 degrees
Closest atoms and distances in Å follow each position.
Space group C2/m (No. 12)
Inequivalent atoms, fractional coordinates:
Na 0.1674 0.0000 0.1858 x4  5 O 2.37-2.50
Ir 0.0000 0.5000 0.5000 x2  6 O 1.85-2.03
O 0.0695 0.5000 0.8474 x4  1 Ir 1.85
O 0.1313 0.0000 0.5445 x4  2 Ir 2.03

V   12.5 A^3/atom
Formation energy from raw total energies   -1.12 eV per atom
Polymorph energy (0 for the lowest one)   0 meV/atom

---

Record 8
## Na4Ir2O9 (PBE-GGA)

Data for crystalline Na4Ir2O9 at its relaxed geometry.

Cell lengths 5.6772, 5.6772, 14.4512 Å; angles 90.00, 90.00, 120.00 degrees
Closest atoms and distances in Å follow each position.
Space group P-3c1 (No. 165)
Inequivalent atoms, fractional coordinates:
Na 0.3333 0.6667 0.1945 x4  6 O 2.32-2.50
Na 0.3333 0.6667 0.4789 x4  6 O 2.36-2.49
Ir 0.0000 0.0000 0.1490 x4  6 O 1.84-2.02
O 0.0000 0.2471 0.2500 x6  2 Ir 2.02
O 0.0286 0.2955 0.5862 x12  1 Ir 1.84

V   13.4 A^3/atom
Formation energy from raw total energies   -1.03 eV per atom